DFT (PBE+U) results for a geometry-optimized ScTl2NiF6 structure.

Summary:
Space-group type: Pmmn, No. 59
Raw total energy, eV for the cell shown: -100.22
Calculated volume, Å³/atom: 16.735

Cell: 5.809 9.921 5.808 Å, 90.00 90.00 90.00°
Atoms (fractional coordinates):
1 Sc 0.250 0.250 0.248
2 Sc 0.750 0.750 0.752
3 Tl 0.250 0.000 0.749
4 Tl 0.250 0.500 0.749
5 Tl 0.750 0.000 0.251
6 Tl 0.750 0.500 0.251
7 Ni 0.250 0.750 0.252
8 Ni 0.750 0.250 0.748
9 F 0.002 0.250 0.000
10 F 0.002 0.250 0.496
11 F 0.250 0.045 0.248
12 F 0.250 0.455 0.248
13 F 0.498 0.250 0.000
14 F 0.498 0.250 0.496
15 F 0.502 0.750 0.000
16 F 0.502 0.750 0.504
17 F 0.750 0.545 0.752
18 F 0.750 0.955 0.752
19 F 0.998 0.750 0.000
20 F 0.998 0.750 0.504

DFT (PBE+U) results for a geometry-optimized NiSeF2 structure.

Summary:
Energy above the lowest structure with this stoichiometry, meV/atom: 1542
Space-group type: Fm-3m, No. 225
Raw total energy, eV for the cell shown: -9.12
Calculated volume, Å³/atom: 12.647
DOS at the Fermi energy, states/eV/f.u.: 9.35

Cell: 4.151 4.151 4.151 Å, 60.00 60.00 60.00°
Atoms (fractional coordinates):
1 Ni 0.000 0.000 0.000
2 Se 0.500 0.500 0.500
3 F 0.250 0.250 0.250
4 F 0.750 0.750 0.750

DFT (PBE+U) results for a geometry-optimized NiSe2F structure.

Summary:
Energy above the lowest structure with this stoichiometry, meV/atom: 295
Space-group type: Fm-3m, No. 225
Raw total energy, eV for the cell shown: -11.28
Calculated volume, Å³/atom: 14.147
DOS at the Fermi energy, states/eV/f.u.: 1.53

Cell: 4.309 4.309 4.309 Å, 60.00 60.00 60.00°
Atoms (fractional coordinates):
1 Ni 0.000 0.000 0.000
2 Se 0.250 0.250 0.250
3 Se 0.750 0.750 0.750
4 F 0.500 0.500 0.500